(1)
Compound: LaTa3
Source: Alexandria via LeMat-Bulk
Functional: PBE-GGA
Structure: relaxed

CIF file:
```
data_LaTa3
_chemical_formula_sum 'La1 Ta3'
_cell_length_a 10.8195
_cell_length_b 10.8195
_cell_length_c 10.8195
_cell_angle_alpha 16.17
_cell_angle_beta 16.17
_cell_angle_gamma 16.17
_space_group_name_H-M_alt 'P 1'
_space_group_IT_number 1
loop_
_space_group_symop_operation_xyz
'x,y,z'
loop_
_atom_site_label
_atom_site_type_symbol
_atom_site_fract_x
_atom_site_fract_y
_atom_site_fract_z
La1 La 0.0000 0.0000 0.0000
Ta1 Ta 0.2411 0.2411 0.2411
Ta2 Ta 0.5000 0.5000 0.5000
Ta3 Ta 0.7589 0.7589 0.7589
```

Properties
As for the total energy: -0.7063 Ry/atom. Its space group is R-3m, No. 166.


(2)
Compound: LaTa2
Source: Alexandria via LeMat-Bulk
Functional: PBE-GGA
Structure: relaxed

CIF file:
```
data_LaTa2
_chemical_formula_sum 'La2 Ta4'
_cell_length_a 2.9377
_cell_length_b 8.6610
_cell_length_c 5.1232
_cell_angle_alpha 90.00
_cell_angle_beta 90.00
_cell_angle_gamma 90.00
_space_group_name_H-M_alt 'P 1'
_space_group_IT_number 1
loop_
_space_group_symop_operation_xyz
'x,y,z'
loop_
_atom_site_label
_atom_site_type_symbol
_atom_site_fract_x
_atom_site_fract_y
_atom_site_fract_z
La1 La 0.0000 0.0000 0.0000
La2 La 0.5000 0.5000 0.5000
Ta1 Ta 0.0995 0.3346 0.0000
Ta2 Ta 0.4005 0.8346 0.5000
Ta3 Ta 0.5995 0.1655 0.5000
Ta4 Ta 0.9005 0.6654 0.0000
```

Properties
For the distance to the lowest polymorph of the same formula, the calculation gives 296 meV/atom. As for the total energy: -0.6569 Ry/atom. Its space group is Pnnm, No. 58.


Number 1: formation enthalpy at 0 K 0.511 eV per atom, density 13.221 g/cm3, DOS at the Fermi energy 5.75 states/eV per cell. Number 2: formation enthalpy at 0 K 0.607 eV per atom, density 12.759 g/cm3, DOS at the Fermi energy 6.95 states/eV per cell.